[1]
This record from the Alexandria database describes a geometry-optimized TbPrMgHg structure. The functional is PBE.

- polymorph energy (0 for the lowest one) (meV/atom) = 25
- total magnetic moment (μB per atom) = 0.077

abc: 5.405 5.405 5.405
angles: 60.00 60.00 60.00
Atoms (fractional coordinates):
Tb 0.000 0.000 0.000
Pr 0.500 0.500 0.500
Mg 0.750 0.750 0.750
Hg 0.250 0.250 0.250

---

[2]
This record from the Alexandria database describes a geometry-optimized PrMgTlHg structure. The functional is PBE.

- total magnetic moment (μB per atom) = 0.000

abc: 5.293 5.293 5.293
angles: 60.00 60.00 60.00
Atoms (fractional coordinates):
Pr 0.000 0.000 0.000
Mg 0.500 0.500 0.500
Tl 0.750 0.750 0.750
Hg 0.250 0.250 0.250

---

[3]
This record from the Alexandria database describes a geometry-optimized PrTmMgHg structure. The functional is PBE.

- polymorph energy (0 for the lowest one) (meV/atom) = 24
- total magnetic moment (μB per atom) = 0.000

abc: 5.368 5.368 5.368
angles: 60.00 60.00 60.00
Atoms (fractional coordinates):
Pr 0.000 0.000 0.000
Tm 0.500 0.500 0.500
Mg 0.250 0.250 0.250
Hg 0.750 0.750 0.750

---

[4]
This record from the Alexandria database describes a geometry-optimized PrTmMgHg structure. The functional is PBE.

- polymorph energy (0 for the lowest one) (meV/atom) = 0
- total magnetic moment (μB per atom) = 0.000

abc: 3.755 3.755 7.758
angles: 90.00 90.00 90.00
Atoms (fractional coordinates):
Pr 0.000 0.000 0.000
Tm 0.000 0.000 0.490
Mg 0.500 0.500 0.730
Hg 0.500 0.500 0.278

---

[5]
This record from the Alexandria database describes a geometry-optimized PrMgZnHg structure. The functional is PBE.

- total magnetic moment (μB per atom) = 0.000

abc: 5.096 5.096 5.096
angles: 60.00 60.00 60.00
Atoms (fractional coordinates):
Pr 0.000 0.000 0.000
Mg 0.500 0.500 0.500
Zn 0.250 0.250 0.250
Hg 0.750 0.750 0.750

---

[6]
This record from the Alexandria database describes a geometry-optimized PrMg2Zn2Hg2 structure. The functional is PBE.

- total magnetic moment (μB per atom) = 0.000

abc: 8.806 8.806 8.806
angles: 30.69 30.69 30.69
Atoms (fractional coordinates):
Pr 0.000 0.000 0.000
Mg 0.136 0.136 0.136
Mg 0.864 0.864 0.864
Zn 0.254 0.254 0.254
Zn 0.746 0.746 0.746
Hg 0.414 0.414 0.414
Hg 0.586 0.586 0.586

---

[7]
This record from the Alexandria database describes a geometry-optimized PrMg2ZnHg4 structure. The functional is PBE.

- total magnetic moment (μB per atom) = 0.000

abc: 9.342 9.342 9.342
angles: 30.39 30.39 30.39
Atoms (fractional coordinates):
Pr 0.000 0.000 0.000
Mg 0.243 0.243 0.243
Mg 0.757 0.757 0.757
Zn 0.500 0.500 0.500
Hg 0.128 0.128 0.128
Hg 0.388 0.388 0.388
Hg 0.612 0.612 0.612
Hg 0.872 0.872 0.872

---

[8]
This record from the Alexandria database describes a geometry-optimized Mg6HgPt5 structure. The functional is PBE.

- total magnetic moment (μB per atom) = 0.000

abc: 4.655 6.109 7.283
angles: 90.00 106.11 90.00
Atoms (fractional coordinates):
Mg 0.000 0.239 0.000
Mg 0.000 0.761 0.000
Mg 0.320 0.244 0.654
Mg 0.320 0.756 0.654
Mg 0.680 0.244 0.346
Mg 0.680 0.756 0.346
Hg 0.500 0.500 0.000
Pt 0.169 0.500 0.327
Pt 0.172 0.000 0.326
Pt 0.500 0.000 0.000
Pt 0.828 0.000 0.674
Pt 0.831 0.500 0.673

---

[9]
This record from the Alexandria database describes a geometry-optimized Mg2HgPt structure. The functional is PBE.

- total magnetic moment (μB per atom) = 0.000

abc: 5.266 5.266 4.751
angles: 105.50 105.50 35.82
Atoms (fractional coordinates):
Mg 0.000 0.000 0.000
Mg 0.223 0.223 0.657
Hg 0.472 0.472 0.473
Pt 0.729 0.729 0.144

---

[10]
This record from the Alexandria database describes a geometry-optimized Mg2HgPt structure. The functional is PBE.

- total magnetic moment (μB per atom) = 0.000

abc: 3.575 3.575 5.946
angles: 90.00 90.00 90.00
Atoms (fractional coordinates):
Mg 0.000 0.000 0.000
Mg 0.500 0.500 0.299
Hg 0.500 0.500 0.770
Pt 0.000 0.000 0.470

---

[11]
This record from the Alexandria database describes a geometry-optimized Mg2HgPt structure. The functional is PBE.

- total magnetic moment (μB per atom) = 0.000

abc: 6.080 6.080 6.080
angles: 102.61 102.61 124.28
Atoms (fractional coordinates):
Mg 0.088 0.625 0.963
Mg 0.375 0.338 0.463
Mg 0.662 0.125 0.037
Mg 0.875 0.912 0.537
Hg 0.250 0.750 0.500
Hg 0.500 0.500 0.000
Pt 0.000 0.000 0.000
Pt 0.750 0.250 0.500

---

[12]
This record from the Alexandria database describes a geometry-optimized MgHg2Pt structure. The functional is PBE.

- total magnetic moment (μB per atom) = 0.000

abc: 4.771 4.771 4.771
angles: 60.00 60.00 60.00
Atoms (fractional coordinates):
Mg 0.000 0.000 0.000
Hg 0.250 0.250 0.250
Hg 0.500 0.500 0.500
Pt 0.750 0.750 0.750

---

For each record above, in turn, the calculated energy relative to the elements values are -0.26; -0.38; -0.25; -0.27; -0.38; -0.24; -0.25; -0.75; -0.45; -0.37; -0.24; -0.15 eV per atom.
For each record above, in turn, the calculated electronic total energy values are -3.087; -2.637; -3.037; -3.061; -2.372; -1.824; -1.560; -4.085; -2.830; -2.751; -2.621; -2.212 eV per atom.